No. 1
# GGA-PBE MgBeMo2, optimized geometry
# - Crystal system: tetragonal
# - Energy of formation: 19.6 kJ/mol of atoms
# - V: 58.6 Å³/f.u.
# - Total magnetic moment: 0.0 μB per formula unit
# - Relative energy among the computed polymorphs: 0.006 eV/atom
# - Density: 6.38 g/cm3
data_MgBeMo2
_chemical_formula_sum 'Mg1 Be1 Mo2'
_space_group_name_H-M_alt 'P 4/m m m'
_space_group_IT_number 123
_space_group_name_Hall '-P 4 2'
_cell_length_a 2.7090
_cell_length_b 2.7090
_cell_length_c 7.9890
_cell_angle_alpha 90.00
_cell_angle_beta 90.00
_cell_angle_gamma 90.00
loop_
_atom_site_label
_atom_site_type_symbol
_atom_site_fract_x
_atom_site_fract_y
_atom_site_fract_z
Mg1 Mg 0.0000 0.0000 0.0000
Be1 Be 0.0000 0.0000 0.5000
Mo1 Mo 0.5000 0.5000 0.2926

No. 2
# GGA-PBE Tb7HgIr4, optimized geometry
# - Crystal system: monoclinic
# - Energy of formation: -48.9 kJ/mol of atoms
# - V: 296.5 Å³/f.u.
# - Total magnetic moment: 0.0 μB per formula unit
# - Density: 11.66 g/cm3
data_Tb7HgIr4
_chemical_formula_sum 'Tb14 Hg2 Ir8'
_space_group_name_H-M_alt 'C 1 2/m 1'
_space_group_IT_number 12
_space_group_name_Hall '-C 2y'
_cell_length_a 13.7459
_cell_length_b 5.4218
_cell_length_c 9.8202
_cell_angle_alpha 90.00
_cell_angle_beta 125.88
_cell_angle_gamma 90.00
loop_
_atom_site_label
_atom_site_type_symbol
_atom_site_fract_x
_atom_site_fract_y
_atom_site_fract_z
Tb1 Tb 0.0000 0.0000 0.0000
Tb2 Tb 0.0763 0.5000 0.3606
Tb3 Tb 0.1716 0.0000 0.6170
Tb4 Tb 0.2124 0.5000 0.8733
Hg1 Hg 0.0000 0.5000 0.0000
Ir1 Ir 0.0683 0.0000 0.7798
Ir2 Ir 0.2050 0.0000 0.3413

No. 3
# GGA-PBE BaFe2Os, optimized geometry
# - Crystal system: trigonal
# - Energy of formation: 39.5 kJ/mol of atoms
# - V: 89.1 Å³/f.u.
# - Total magnetic moment: 4.8 μB per formula unit
# - Relative energy among the computed polymorphs: 0.011 eV/atom
# - Density: 8.19 g/cm3
data_BaFe2Os
_chemical_formula_sum 'Ba3 Fe6 Os3'
_space_group_name_H-M_alt 'R -3 m'
_space_group_IT_number 166
_space_group_name_Hall '-R 3 2"'
_cell_length_a 4.2189
_cell_length_b 4.2189
_cell_length_c 17.3374
_cell_angle_alpha 90.00
_cell_angle_beta 90.00
_cell_angle_gamma 120.00
loop_
_atom_site_label
_atom_site_type_symbol
_atom_site_fract_x
_atom_site_fract_y
_atom_site_fract_z
Ba1 Ba 0.0000 0.0000 0.0000
Fe1 Fe 0.0000 0.0000 0.1884
Os1 Os 0.0000 0.0000 0.5000

No. 4
# GGA-PBE AcLa2Pr4, optimized geometry
# - Crystal system: triclinic
# - Energy of formation: 23.2 kJ/mol of atoms
# - V: 277.5 Å³/f.u.
# - Total magnetic moment: 0.0 μB per formula unit
# - Relative energy among the computed polymorphs: 0.056 eV/atom
# - Density: 6.39 g/cm3
data_AcLa2Pr4
_chemical_formula_sum 'Ac2 La4 Pr8'
_space_group_name_H-M_alt 'P -1'
_space_group_IT_number 2
_space_group_name_Hall '-P 1'
_cell_length_a 7.3187
_cell_length_b 8.5155
_cell_length_c 9.0646
_cell_angle_alpha 87.05
_cell_angle_beta 85.90
_cell_angle_gamma 80.27
loop_
_atom_site_label
_atom_site_type_symbol
_atom_site_fract_x
_atom_site_fract_y
_atom_site_fract_z
Ac1 Ac 0.0000 0.0000 0.0000
Ac2 Ac 0.5000 0.0000 0.0000
La1 La 0.0000 0.0000 0.5000
La2 La 0.0000 0.5000 0.0000
La3 La 0.0000 0.5000 0.5000
La4 La 0.5000 0.5000 0.5000
Pr1 Pr 0.2630 0.2452 0.2664
Pr2 Pr 0.2704 0.7378 0.7553
Pr3 Pr 0.3919 0.6288 0.1426
Pr4 Pr 0.3994 0.1358 0.6364